! PBE with a Hubbard U Mn2WO6, optimized geometry; values from VASP
! Total DFT energy (no corrections), eV/atom: -7.262
! Density of states at the Fermi level, states/eV/f.u.: 0.10
&SYSTEM
  ibrav = 0, nat = 18, ntyp = 3
/
ATOMIC_SPECIES
Mn 54.94 Mn.upf
W 183.84 W.upf
O 16.00 O.upf
ATOMIC_POSITIONS crystal
Mn 0.000 0.000 0.166
Mn 0.000 0.000 0.834
Mn 0.500 0.500 0.334
Mn 0.500 0.500 0.666
W 0.000 0.000 0.500
W 0.500 0.500 0.000
O 0.198 0.198 0.000
O 0.198 0.198 0.338
O 0.198 0.198 0.662
O 0.302 0.698 0.162
O 0.302 0.698 0.500
O 0.302 0.698 0.838
O 0.698 0.302 0.162
O 0.698 0.302 0.500
O 0.698 0.302 0.838
O 0.802 0.802 0.000
O 0.802 0.802 0.338
O 0.802 0.802 0.662
CELL_PARAMETERS angstrom
4.618 0.000 0.000
0.000 4.618 0.000
0.000 0.000 8.965